1.
Below is DyErFe2Cl2 after structural relaxation, with properties calculated at the PBE level.

Lattice parameters (Å, degrees): 3.7846 3.7846 11.0251 90.00 90.00 120.00
Space group P3m1 (No. 156)
Inequivalent atoms, fractional coordinates:
1 Dy 0.0000 0.0000 0.0000 x1
2 Er 0.0000 0.0000 0.3613 x1
3 Fe 0.3333 0.6667 0.1915 x1
4 Fe 0.6667 0.3333 0.1728 x1
5 Cl 0.3333 0.6667 0.8420 x1
6 Cl 0.6667 0.3333 0.5172 x1

Values from the calculation:
**Calculated total energy**: -36.165 eV per cell
**Crystal system**: trigonal

2.
Below is Sr3HoN3 after structural relaxation, with properties calculated at the PBE level.

Lattice parameters (Å, degrees): 8.0452 8.0452 5.3803 90.00 90.00 120.00
Space group P6_3/m (No. 176)
Inequivalent atoms, fractional coordinates:
1 Sr 0.0664 0.3315 0.2500 x6
2 Ho 0.3333 0.6667 0.7500 x2
3 N 0.0787 0.3740 0.7500 x6

Values from the calculation:
**Calculated total energy**: -77.436 eV per cell
**Crystal system**: hexagonal

3.
Below is LaTcNO after structural relaxation, with properties calculated at the PBE level.

Lattice parameters (Å, degrees): 3.8406 5.5143 5.2922 90.00 90.00 90.00
Space group Pmc2_1 (No. 26)
Inequivalent atoms, fractional coordinates:
1 La 0.0000 0.2067 0.0000 x2
2 Tc 0.5000 0.3189 0.4992 x2
3 N 0.0000 0.3264 0.4987 x2
4 O 0.5000 0.0044 0.7553 x2

Values from the calculation:
**Crystal system**: orthorhombic
**E above lowest polymorph**: 103 meV/atom